Entry 1:
The following is a DFT calculation (PBE-GGA) of a relaxed structure of Nd4Tl2Ag.

Cell: 5.407 5.407 9.306 Å, 73.11 73.11 60.00°
Site moments in Bohr magnetons follow the coordinates.
Fractional positions:
Nd  0.875  0.875  0.375  0.15
Nd  0.376  0.376  0.873  0.13
Nd  0.624  0.624  0.127  0.13
Nd  0.125  0.125  0.625  0.15
Tl  0.249  0.249  0.254  0.00
Tl  0.751  0.751  0.746  0.00
Ag  0.000  0.000  0.000  0.02

Calculated values
**Relative energy among the computed polymorphs**: 0.000 eV/atom
**SG**: No. 166
**N(E_F)**: 9.754 states/eV/f.u.
**Final energy**: -0.147 Ha/atom
**ρ**: 8.2 Mg/m³
**Calculated formation energy**: -0.204 eV per atom

=====

Entry 2:
The following is a DFT calculation (PBE-GGA) of a relaxed structure of Nd3Tl4Ag2.

Cell: 5.021 6.228 9.504 Å, 114.73 90.00 113.77°
Fractional positions:
Tl  0.260  0.519  0.916
Tl  0.740  0.481  0.084
Tl  0.950  0.899  0.623
Tl  0.050  0.101  0.377
Nd  0.333  0.665  0.342
Nd  0.667  0.335  0.658
Nd  0.000  0.000  0.000
Ag  0.392  0.785  0.722
Ag  0.608  0.215  0.278

Calculated values
**SG**: No. 12
**N(E_F)**: 4.633 states/eV/f.u.
**Final energy**: -0.131 Ha/atom
**ρ**: 10.1 Mg/m³
**Calculated formation energy**: -0.301 eV per atom

=====

Entry 3:
The following is a DFT calculation (PBE-GGA) of a relaxed structure of Nd2TlAg.

Cell: 3.757 3.757 7.996 Å, 90.00 90.00 90.00°
Site moments in Bohr magnetons follow the coordinates.
Fractional positions:
Nd  0.000  0.000  0.236  0.11
Nd  0.000  0.000  0.764  0.11
Tl  0.500  0.500  0.500  0.00
Ag  0.500  0.500  0.000  0.01

Calculated values
**Relative energy among the computed polymorphs**: 0.002 eV/atom
**SG**: No. 123
**N(E_F)**: 4.350 states/eV/f.u.
**Final energy**: -0.147 Ha/atom
**ρ**: 8.8 Mg/m³
**Calculated formation energy**: -0.317 eV per atom

=====

Entry 4:
The following is a DFT calculation (PBE-GGA) of a relaxed structure of NdTlAg4.

Cell: 5.684 5.684 5.684 Å, 60.00 60.00 60.00°
Fractional positions:
Ag  0.625  0.125  0.625
Ag  0.625  0.625  0.125
Ag  0.125  0.625  0.625
Ag  0.625  0.625  0.625
Tl  0.000  0.000  0.000
Nd  0.250  0.250  0.250

Calculated values
**SG**: No. 216
**N(E_F)**: 1.295 states/eV/f.u.
**Final energy**: -0.120 Ha/atom
**ρ**: 10.0 Mg/m³
**Calculated formation energy**: -0.184 eV per atom

=====

Entry 5:
The following is a DFT calculation (PBE-GGA) of a relaxed structure of Nd2Tl3Ag.

Cell: 6.264 6.264 9.507 Å, 103.33 103.33 107.45°
Fractional positions:
Tl  0.171  0.171  0.341
Tl  0.172  0.656  0.828
Tl  0.828  0.344  0.172
Tl  0.829  0.829  0.659
Tl  0.344  0.828  0.172
Tl  0.656  0.172  0.828
Ag  0.668  0.668  0.336
Ag  0.332  0.332  0.664
Nd  0.250  0.750  0.500
Nd  0.750  0.250  0.500
Nd  0.749  0.749  0.000
Nd  0.251  0.251  0.000

Calculated values
**Relative energy among the computed polymorphs**: 0.005 eV/atom
**SG**: No. 69
**N(E_F)**: 4.500 states/eV/f.u.
**Final energy**: -0.129 Ha/atom
**ρ**: 10.2 Mg/m³
**Calculated formation energy**: -0.272 eV per atom

=====

Entry 6:
The following is a DFT calculation (PBE-GGA) of a relaxed structure of Nd12Tl6Ag.

Cell: 8.378 8.378 8.378 Å, 90.75 90.75 90.75°
Fractional positions:
Nd  0.891  0.636  0.943
Nd  0.434  0.809  0.536
Nd  0.943  0.891  0.636
Nd  0.464  0.566  0.191
Nd  0.536  0.434  0.809
Nd  0.364  0.057  0.109
Nd  0.809  0.536  0.434
Nd  0.566  0.191  0.464
Nd  0.057  0.109  0.364
Nd  0.636  0.943  0.891
Nd  0.191  0.464  0.566
Nd  0.109  0.364  0.057
Tl  0.877  0.266  0.722
Tl  0.734  0.278  0.123
Tl  0.123  0.734  0.278
Tl  0.278  0.123  0.734
Tl  0.722  0.877  0.266
Tl  0.266  0.722  0.877
Ag  0.000  0.000  0.000

Calculated values
**SG**: No. 148
**N(E_F)**: 18.679 states/eV/f.u.
**Final energy**: -0.150 Ha/atom
**ρ**: 8.7 Mg/m³
**Calculated formation energy**: -0.161 eV per atom

=====

Entry 7:
The following is a DFT calculation (PBE-GGA) of a relaxed structure of Nd8TlAg2.

Cell: 5.189 8.055 9.283 Å, 112.27 106.23 90.00°
Fractional positions:
Nd  0.184  0.279  0.368
Nd  0.321  0.035  0.643
Nd  0.959  0.238  0.917
Nd  0.409  0.540  0.818
Nd  0.591  0.460  0.182
Nd  0.816  0.721  0.632
Nd  0.041  0.762  0.083
Nd  0.679  0.965  0.357
Ag  0.191  0.660  0.382
Ag  0.809  0.340  0.618
Tl  0.500  0.000  0.000

Calculated values
**SG**: No. 12
**N(E_F)**: 12.118 states/eV/f.u.
**Final energy**: -0.159 Ha/atom
**ρ**: 7.6 Mg/m³
**Calculated formation energy**: -0.133 eV per atom

=====

Entry 8:
The following is a DFT calculation (PBE-GGA) of a relaxed structure of Nd6TlAg.

Cell: 5.272 5.272 9.888 Å, 74.54 74.54 90.00°
Fractional positions:
Nd  0.390  0.889  0.221
Nd  0.110  0.611  0.779
Nd  0.890  0.389  0.221
Nd  0.251  0.251  0.498
Nd  0.610  0.111  0.779
Nd  0.749  0.749  0.502
Tl  0.500  0.500  0.000
Ag  0.000  0.000  0.000

Calculated values
**Relative energy among the computed polymorphs**: 0.000 eV/atom
**SG**: No. 139
**N(E_F)**: 8.864 states/eV/f.u.
**Final energy**: -0.161 Ha/atom
**ρ**: 7.7 Mg/m³
**Calculated formation energy**: -0.144 eV per atom